Record 1
First-principles (meta-GGA SCAN) data for a crystal of Cs2KCd2 relaxed with PBEsol, as listed in Alexandria.

As for the space-group type: No. 127. The value obtained for the formation energy is -0.02 eV/atom.

Lattice parameters (Å, degrees): 9.477 9.477 5.651 90.00 90.00 90.00
Sites, in units of the cell vectors:
1 Cs 0.176 0.324 0.000
2 Cs 0.324 0.824 0.000
3 Cs 0.676 0.176 0.000
4 Cs 0.824 0.676 0.000
5 K 0.000 0.000 0.500
6 K 0.500 0.500 0.500
7 Cd 0.110 0.610 0.500
8 Cd 0.390 0.110 0.500
9 Cd 0.610 0.890 0.500
10 Cd 0.890 0.390 0.500



Record 2
First-principles (meta-GGA SCAN) data for a crystal of Sr2PrSbO6 relaxed with PBEsol, as listed in Alexandria.

As for the space-group type: No. 225. The calculation puts the uncorrected formation energy at -2.761 eV per atom.

Lattice parameters (Å, degrees): 6.019 6.019 6.019 60.00 60.00 60.00
Sites, in units of the cell vectors:
1 Sr 0.250 0.250 0.250
2 Sr 0.750 0.750 0.750
3 Pr 0.000 0.000 0.000
4 Sb 0.500 0.500 0.500
5 O 0.268 0.268 0.732
6 O 0.268 0.732 0.268
7 O 0.268 0.732 0.732
8 O 0.732 0.268 0.268
9 O 0.732 0.268 0.732
10 O 0.732 0.732 0.268



Record 3
First-principles (meta-GGA SCAN) data for a crystal of RbZrAl2Cl relaxed with PBEsol, as listed in Alexandria.

As for the space-group type: No. 123. The calculation puts the uncorrected formation energy at 1.920 eV per atom.

Lattice parameters (Å, degrees): 5.648 5.648 5.164 90.00 90.00 90.00
Sites, in units of the cell vectors:
1 Rb 0.000 0.000 0.000
2 Zr 0.000 0.000 0.500
3 Al 0.000 0.500 0.000
4 Al 0.500 0.000 0.000
5 Cl 0.500 0.500 0.500



Record 4
First-principles (meta-GGA SCAN) data for a crystal of InPtRh2 relaxed with PBEsol, as listed in Alexandria.

As for the space-group type: No. 65. The value obtained for the formation energy is -0.23 eV/atom.

Lattice parameters (Å, degrees): 4.686 4.686 2.847 90.00 90.00 104.95
Sites, in units of the cell vectors:
1 In 0.000 0.000 0.000
2 Pt 0.500 0.500 0.000
3 Rh 0.000 0.500 0.500
4 Rh 0.500 0.000 0.500



Record 5
First-principles (meta-GGA SCAN) data for a crystal of TlSnAsBr2 relaxed with PBEsol, as listed in Alexandria.

As for the space-group type: No. 123. The calculation puts the uncorrected formation energy at 0.496 eV per atom. The polymorph energy (0 for the lowest one) comes out at 197 meV per atom.

Lattice parameters (Å, degrees): 5.378 5.378 5.943 90.00 90.00 90.00
Sites, in units of the cell vectors:
1 Tl 0.000 0.000 0.000
2 Sn 0.000 0.000 0.500
3 As 0.500 0.500 0.500
4 Br 0.000 0.500 0.000
5 Br 0.500 0.000 0.000



Record 6
First-principles (meta-GGA SCAN) data for a crystal of LaSbAs2 relaxed with PBEsol, as listed in Alexandria.

As for the space-group type: No. 119. The calculation puts the uncorrected formation energy at -0.684 eV per atom.

Lattice parameters (Å, degrees): 6.027 6.027 6.027 138.80 138.80 59.68
Sites, in units of the cell vectors:
1 La 0.000 0.000 0.000
2 Sb 0.750 0.250 0.500
3 As 0.250 0.750 0.500
4 As 0.500 0.500 0.000



Record 7
First-principles (meta-GGA SCAN) data for a crystal of Zr2CuMo relaxed with PBEsol, as listed in Alexandria.

As for the space-group type: No. 65. The value obtained for the formation energy is 0.05 eV/atom. The polymorph energy (0 for the lowest one) comes out at 166 meV per atom.

Lattice parameters (Å, degrees): 2.940 2.940 8.450 90.00 90.00 106.89
Sites, in units of the cell vectors:
1 Zr 0.000 0.000 0.248
2 Zr 0.000 0.000 0.752
3 Cu 0.500 0.500 0.000
4 Mo 0.500 0.500 0.500



Record 8
First-principles (meta-GGA SCAN) data for a crystal of Ta2TlSnTe relaxed with PBEsol, as listed in Alexandria.

As for the space-group type: No. 123. The calculation puts the uncorrected formation energy at 1.835 eV per atom.

Lattice parameters (Å, degrees): 5.151 5.151 5.513 90.00 90.00 90.00
Sites, in units of the cell vectors:
1 Ta 0.000 0.500 0.000
2 Ta 0.500 0.000 0.000
3 Tl 0.000 0.000 0.500
4 Sn 0.500 0.500 0.000
5 Te 0.500 0.500 0.500



no.,energy (eV per atom)
1,-28.98
2,-19.01
3,-13.06
4,-43.01
5,-32.98
6,-30.87
7,-27.82
8,-53.90